The following is a DFT calculation (PBEsol) of Zn2HgAuCl after structural relaxation.

Unit cell a=4.614 b=4.614 c=5.658 alpha=90.00 beta=90.00 gamma=90.00
Positions (direct):
Zn (0.000, 0.500, 0.000)
Zn (0.500, 0.000, 0.000)
Au (0.500, 0.500, 0.500)
Hg (0.000, 0.000, 0.500)
Cl (0.000, 0.000, 0.000)

## Properties
Calculated volume ... 120.4 Å³/cell
Symmetry ... P4/mmm (123)
Formation energy without anion corrections ... 686 meV per atom
Calculated total energy ... -1.247 eV/atom
Calculated density ... 7.8 g/cm³

---

The following is a DFT calculation (PBEsol) of AuIN2Cl after structural relaxation.

Unit cell a=3.977 b=3.977 c=7.552 alpha=90.00 beta=90.00 gamma=90.00
Last column: magnetic moment on the atom in μB.
Positions (direct):
I (0.000, 0.000, 0.500)  0.01
N (0.000, 0.500, 0.000)  1.03
N (0.500, 0.000, 0.000)  1.03
Au (0.000, 0.000, 0.000)  0.30
Cl (0.500, 0.500, 0.500)  0.00

## Properties
Calculated volume ... 119.4 Å³/cell
Symmetry ... P4/mmm (123)
Formation energy without anion corrections ... 1536 meV per atom
Calculated total energy ... -3.414 eV/atom
Calculated density ... 5.4 g/cm³